[1]
First-principles (PBE-GGA) data for an optimized crystal structure of Pu2IrPt, as listed in Alexandria.

As for the crystal system: orthorhombic. The total energy comes out at -45.6 eV per formula unit.

The structure belongs to space group Cmcm (No. 63); the cell edges are 6.8637, 9.9937 and 4.7723 Å and the angles 90.00°, 90.00° and 90.00°. The distinct sites, in fractional coordinates, are Pu at (0.2463, 0.1048, 0.2500), Ir at (0.0000, 0.1499, 0.7500) and Pt at (0.0000, 0.3488, 0.2500).

[2]
First-principles (PBE-GGA) data for an optimized crystal structure of Ta3MoI, as listed in Alexandria.

As for the crystal system: cubic. The calculation puts the uncorrected formation energy at 12.0 eV/f.u. The energy above the most stable polymorph in this dataset comes out at 0.883 eV/atom.

The structure belongs to space group Pm-3m (No. 221); the cell edges are 4.9267, 4.9267 and 4.9267 Å and the angles 90.00°, 90.00° and 90.00°. The distinct sites, in fractional coordinates, are Ta at (0.0000, 0.0000, 0.5000), Mo at (0.5000, 0.5000, 0.5000) and I at (0.0000, 0.0000, 0.0000).

[3]
First-principles (PBE-GGA) data for an optimized crystal structure of CaGaSb2Au, as listed in Alexandria.

As for the crystal system: tetragonal. The calculation puts the uncorrected formation energy at 0.4 eV/f.u.

The structure belongs to space group P4/mmm (No. 123); the cell edges are 5.4512, 5.4512 and 5.4798 Å and the angles 90.00°, 90.00° and 90.00°. The distinct sites, in fractional coordinates, are Ca at (0.0000, 0.0000, 0.0000), Ga at (0.5000, 0.5000, 0.0000), Sb at (0.0000, 0.5000, 0.5000) and Au at (0.0000, 0.0000, 0.5000).

[4]
First-principles (PBE-GGA) data for an optimized crystal structure of CrNi2H2, as listed in Alexandria.

As for the crystal system: tetragonal. The energy above the most stable polymorph in this dataset comes out at 0.529 eV/atom.

The structure belongs to space group P4/mbm (No. 127); the cell edges are 6.1405, 6.1405 and 2.4565 Å and the angles 90.00°, 90.00° and 90.00°. The distinct sites, in fractional coordinates, are Cr at (0.0000, 0.0000, 0.0000), Ni at (0.1363, 0.3637, 0.0000) and H at (0.2424, 0.7424, 0.5000).

[5]
First-principles (PBE-GGA) data for an optimized crystal structure of Ca4MgCr, as listed in Alexandria.

As for the crystal system: cubic. The total energy comes out at -15.5 eV per formula unit.

The structure belongs to space group F-43m (No. 216); the cell edges are 9.4996, 9.4996 and 9.4996 Å and the angles 90.00°, 90.00° and 90.00°. The distinct sites, in fractional coordinates, are Ca at (0.1249, 0.1249, 0.1249), Mg at (0.0000, 0.0000, 0.5000) and Cr at (0.2500, 0.2500, 0.7500).

[6]
First-principles (PBE-GGA) data for an optimized crystal structure of Ca2TeMoI, as listed in Alexandria.

As for the crystal system: tetragonal. The calculation puts the uncorrected formation energy at -0.6 eV/f.u.

The structure belongs to space group P4/mmm (No. 123); the cell edges are 5.8561, 5.8561 and 5.0406 Å and the angles 90.00°, 90.00° and 90.00°. The distinct sites, in fractional coordinates, are Ca at (0.0000, 0.5000, 0.0000), Te at (0.0000, 0.0000, 0.5000), Mo at (0.0000, 0.0000, 0.0000) and I at (0.5000, 0.5000, 0.5000).

[7]
First-principles (PBE-GGA) data for an optimized crystal structure of Ho3Tm4Th, as listed in Alexandria.

As for the crystal system: orthorhombic. The energy above the most stable polymorph in this dataset comes out at 0.000 eV/atom.

The structure belongs to space group Pmn2_1 (No. 31); the cell edges are 11.2247, 7.1634 and 6.1879 Å and the angles 90.00°, 90.00° and 90.00°. The distinct sites, in fractional coordinates, are Ho at (0.0000, 0.1234, 0.0000), Ho at (0.2492, 0.1239, 0.3330), Tm at (0.0000, 0.3760, 0.5014), Tm at (0.0000, 0.6268, 0.0022), Tm at (0.2502, 0.3743, 0.8413) and Th at (0.0000, 0.8748, 0.5028).

[8]
First-principles (PBE-GGA) data for an optimized crystal structure of InRu3Au, as listed in Alexandria.

As for the crystal system: cubic. The energy above the most stable polymorph in this dataset comes out at 0.000 eV/atom.

The structure belongs to space group Pm-3m (No. 221); the cell edges are 4.8811, 4.8811 and 4.8811 Å and the angles 90.00°, 90.00° and 90.00°. The distinct sites, in fractional coordinates, are In at (0.0000, 0.0000, 0.0000), Ru at (0.0000, 0.5000, 0.5000) and Au at (0.5000, 0.5000, 0.5000).